Here is crystalline MnZn3Cr at its relaxed geometry from the Alexandria database. Energies are from GGA-PBEsol. Values from VASP.

```
&SYSTEM
  ibrav = 0, nat = 5, ntyp = 3
/
ATOMIC_SPECIES
Zn 65.41 Zn.upf
Cr 52.00 Cr.upf
Mn 54.94 Mn.upf
ATOMIC_POSITIONS crystal
Zn 0.500 0.000 0.000
Zn 0.000 0.000 0.500
Zn 0.000 0.500 0.000
Cr 0.500 0.500 0.500
Mn 0.000 0.000 0.000
CELL_PARAMETERS angstrom
-3.227 -3.113 0.589
3.159 -3.096 0.943
-0.246 1.084 4.384
```

Calculated values
The energy of formation from the pure elements is 1.07 eV per atom.